Pr2SmAg after structural relaxation. Source: Alexandria via LeMat-Bulk, functional GGA-PBE.

CIF file:
```
data_Pr2SmAg
_chemical_formula_sum 'Pr8 Sm4 Ag4'
_cell_length_a 5.0551
_cell_length_b 12.1182
_cell_length_c 8.2464
_cell_angle_alpha 90.00
_cell_angle_beta 90.00
_cell_angle_gamma 90.00
_symmetry_space_group_name_H-M 'C m c m'
_symmetry_Int_Tables_number 63
_symmetry_space_group_name_Hall '-C 2c 2'
loop_
_atom_site_label
_atom_site_fract_x
_atom_site_fract_y
_atom_site_fract_z
Pr1 0.0000 0.1390 0.0333
Sm1 0.0000 0.4481 0.2500
Ag1 0.0000 0.2947 0.7500
```

Output
* magnetization: 0.00 Bohr magnetons per cell
* energy relative to the lowest polymorph listed for this composition: 0.043 eV per atom


Pr2SmAg after structural relaxation. Source: Alexandria via LeMat-Bulk, functional GGA-PBE.

CIF file:
```
data_Pr2SmAg
_chemical_formula_sum 'Pr8 Sm4 Ag4'
_cell_length_a 7.1358
_cell_length_b 10.6506
_cell_length_c 6.6654
_cell_angle_alpha 90.00
_cell_angle_beta 90.00
_cell_angle_gamma 90.00
_symmetry_space_group_name_H-M 'P n m a'
_symmetry_Int_Tables_number 62
_symmetry_space_group_name_Hall '-P 2ac 2n'
loop_
_atom_site_label
_atom_site_fract_x
_atom_site_fract_y
_atom_site_fract_z
Pr1 0.1969 0.0445 0.1694
Sm1 0.0128 0.2500 0.6309
Ag1 0.1005 0.7500 0.9230
```

Output
* magnetization: 0.00 Bohr magnetons per cell
* energy relative to the lowest polymorph listed for this composition: 0.016 eV per atom


PrSmAg after structural relaxation. Source: Alexandria via LeMat-Bulk, functional GGA-PBE.

CIF file:
```
data_PrSmAg
_chemical_formula_sum 'Pr1 Sm1 Ag1'
_cell_length_a 5.1507
_cell_length_b 5.1507
_cell_length_c 3.7648
_cell_angle_alpha 90.00
_cell_angle_beta 90.00
_cell_angle_gamma 120.00
_symmetry_space_group_name_H-M 'P 3 m 1'
_symmetry_Int_Tables_number 156
_symmetry_space_group_name_Hall 'P 3 -2"'
loop_
_atom_site_label
_atom_site_fract_x
_atom_site_fract_y
_atom_site_fract_z
Pr1 0.0000 0.0000 0.0000
Sm1 0.6667 0.3333 0.5718
Ag1 0.3333 0.6667 0.3146
```

Output
* magnetization: 0.00 Bohr magnetons per cell
* energy relative to the lowest polymorph listed for this composition: 0.138 eV per atom


Pr2Sm3Ag2 after structural relaxation. Source: Alexandria via LeMat-Bulk, functional GGA-PBE.

CIF file:
```
data_Pr2Sm3Ag2
_chemical_formula_sum 'Pr4 Sm6 Ag4'
_cell_length_a 3.6978
_cell_length_b 31.1936
_cell_length_c 3.6736
_cell_angle_alpha 90.00
_cell_angle_beta 90.00
_cell_angle_gamma 90.00
_symmetry_space_group_name_H-M 'C m m m'
_symmetry_Int_Tables_number 65
_symmetry_space_group_name_Hall '-C 2 2'
loop_
_atom_site_label
_atom_site_fract_x
_atom_site_fract_y
_atom_site_fract_z
Pr1 0.0000 0.2027 0.0000
Sm1 0.0000 0.0814 0.0000
Sm2 0.0000 0.5000 0.5000
Ag1 0.0000 0.3615 0.5000
```

Output
* magnetization: 0.09 Bohr magnetons per cell
* energy relative to the lowest polymorph listed for this composition: 0.051 eV per atom